CoRh2O6 after structural relaxation, computed with PBE+U.

Unit cell a=5.0541 b=5.0541 c=5.5411 alpha=100.49 beta=100.49 gamma=116.69
Closest atoms and distances in Å follow each position.
Sites, in units of the cell vectors:
1 Co 0.0000 0.0000 0.0000  6 O 1.89-1.93
2 Rh 0.3454 0.6546 0.0000  6 O 2.01-2.02
3 Rh 0.6546 0.3454 0.0000  6 O 2.01-2.02
4 O 0.0667 0.7399 0.1773  1 Co 1.89, 2 Rh 2.01-2.02
5 O 0.2601 0.9333 0.8227  1 Co 1.89, 2 Rh 2.01-2.02
6 O 0.3762 0.3762 0.2064  1 Co 1.93, 2 Rh 2.01
7 O 0.6238 0.6238 0.7936  1 Co 1.93, 2 Rh 2.01
8 O 0.7399 0.0667 0.1773  1 Co 1.89, 2 Rh 2.01-2.02
9 O 0.9333 0.2601 0.8227  1 Co 1.89, 2 Rh 2.01-2.02

Output
Crystal system   monoclinic
Fermi-level density of states   0.508 states/eV per atom
Symmetry   C2/m
Total energy   -55.0 eV per formula unit
ρ   5.1 Mg/m³